LaCuO3: optimized geometry, GGA-PBEsol.

Output
total energy	-7.15	eV/atom
formation energy (no corrections)	-996	kJ/mol of formula units

Cell: 5.370 5.370 5.370 Å, 61.21 61.21 61.21°
Sites, in units of the cell vectors:
O 0.198 0.750 0.302
O 0.250 0.698 0.802
O 0.698 0.802 0.250
O 0.302 0.198 0.750
O 0.750 0.302 0.198
O 0.802 0.250 0.698
Cu 0.000 0.000 0.000
Cu 0.500 0.500 0.500
La 0.750 0.750 0.750
La 0.250 0.250 0.250